MgZrNi2 | PBE-GGA | relaxed

Cell lengths 3.985, 5.070, 5.070 Å; angles 39.22, 90.00, 90.00 degrees
Atoms (fractional coordinates):
Mg: 0.000 0.000 0.000
Zr: 0.500 0.290 0.290
Ni: 0.000 0.721 0.721
Ni: 0.500 0.573 0.573

## Properties
For the volume, the calculation gives 16.2 Å³ per atom. Its energy of formation from the pure elements is -0.271 eV per atom. The density of states at the Fermi level comes out at 0.6480 states/eV/atom.

***

MgZrNi3 | PBE-GGA | relaxed

Cell lengths 4.624, 4.624, 4.624 Å; angles 90.00, 90.00, 90.00 degrees
Atoms (fractional coordinates):
Mg: 0.000 0.000 0.000
Zr: 0.500 0.500 0.500
Ni: 0.000 0.500 0.500
Ni: 0.500 0.000 0.500
Ni: 0.500 0.500 0.000

## Properties
For the volume, the calculation gives 19.8 Å³ per atom. Its energy of formation from the pure elements is 0.839 eV per atom. The density of states at the Fermi level comes out at 0.6659 states/eV/atom. As for the energy above the most stable polymorph in this dataset: 216 meV/atom.

***

> Which formula does entry 2 have?

MgZrNi3